The following is a DFT calculation (meta-GGA SCAN) of a PBEsol-optimized structure of ThSi2Rh2.

Calculated values
V in A^3/atom: 16.7
Uncorrected formation energy in eV/atom: -1.165

Unit cell a=4.072 b=4.072 c=5.799 alpha=110.55 beta=110.55 gamma=90.00
Fractional coordinates of all 5 atoms:
1 Rh 0.250 0.750 0.500
2 Si 0.621 0.621 0.243
3 Th 0.000 0.000 0.000
4 Si 0.379 0.379 0.757
5 Rh 0.750 0.250 0.500